This record from Alexandria describes an optimized crystal structure of KCd2InCl6. The functional is PBE.

Summary:
- electronic total energy (eV per atom) = -2.875
- volume (Å³/atom) = 35.0

Cell: 9.794 9.794 7.431 Å, 97.15 97.15 85.63°
Sites, in units of the cell vectors:
K 0.202 0.798 0.750
K 0.798 0.202 0.250
Cd 0.114 0.301 0.774
Cd 0.301 0.114 0.274
Cd 0.699 0.886 0.726
Cd 0.886 0.699 0.226
In 0.404 0.596 0.250
In 0.596 0.404 0.750
Cl 0.088 0.198 0.069
Cl 0.115 0.629 0.372
Cl 0.198 0.088 0.569
Cl 0.280 0.483 0.847
Cl 0.371 0.885 0.128
Cl 0.483 0.280 0.347
Cl 0.517 0.720 0.653
Cl 0.629 0.115 0.872
Cl 0.720 0.517 0.153
Cl 0.802 0.912 0.431
Cl 0.885 0.371 0.628
Cl 0.912 0.802 0.931


This record from Alexandria describes an optimized crystal structure of KCdInCl4. The functional is PBE.

Summary:
- electronic total energy (eV per atom) = -2.980
- volume (Å³/atom) = 33.7

Cell: 7.620 7.502 8.663 Å, 90.00 107.48 90.00°
Sites, in units of the cell vectors:
K 0.206 0.250 0.066
K 0.794 0.750 0.934
Cd 0.259 0.750 0.805
Cd 0.741 0.250 0.195
In 0.255 0.250 0.576
In 0.745 0.750 0.424
Cl 0.031 0.002 0.757
Cl 0.031 0.498 0.757
Cl 0.452 0.750 0.622
Cl 0.461 0.750 0.092
Cl 0.539 0.250 0.908
Cl 0.548 0.250 0.378
Cl 0.969 0.502 0.243
Cl 0.969 0.998 0.243


This record from Alexandria describes an optimized crystal structure of KCd2In2Cl7. The functional is PBE.

Summary:
- electronic total energy (eV per atom) = -2.897
- volume (Å³/atom) = 31.0

Cell: 5.306 5.306 13.597 Å, 99.74 99.74 89.36°
Sites, in units of the cell vectors:
K 0.000 0.000 0.000
Cd 0.409 0.409 0.800
Cd 0.591 0.591 0.200
In 0.232 0.232 0.363
In 0.768 0.768 0.637
Cl 0.078 0.561 0.189
Cl 0.362 0.362 0.606
Cl 0.439 0.922 0.811
Cl 0.500 0.500 0.000
Cl 0.561 0.078 0.189
Cl 0.638 0.638 0.394
Cl 0.922 0.439 0.811


This record from Alexandria describes an optimized crystal structure of LiCdIn2Cl4. The functional is PBE.

Summary:
- electronic total energy (eV per atom) = -2.926
- volume (Å³/atom) = 28.2

Cell: 6.518 6.523 6.612 Å, 61.70 66.11 74.98°
Sites, in units of the cell vectors:
Li 0.000 0.000 0.000
Cd 0.652 0.666 0.802
In 0.314 0.324 0.186
In 0.553 0.453 0.495
Cl 0.369 0.991 0.007
Cl 0.742 0.027 0.371
Cl 0.952 0.650 0.997
Cl 0.967 0.331 0.635


This record from Alexandria describes an optimized crystal structure of Li2CdInCl. The functional is PBE.

Summary:
- electronic total energy (eV per atom) = -1.902
- volume (Å³/atom) = 31.9

Cell: 5.459 5.459 5.350 Å, 90.00 90.00 90.00°
Sites, in units of the cell vectors:
Li 0.000 0.500 0.000
Li 0.500 0.000 0.000
Cd 0.000 0.000 0.500
In 0.000 0.000 0.000
Cl 0.500 0.500 0.500


This record from Alexandria describes an optimized crystal structure of LiCdIn2Cl. The functional is PBE.

Summary:
- electronic total energy (eV per atom) = -2.079
- volume (Å³/atom) = 32.1

Cell: 5.535 5.535 5.246 Å, 90.00 90.00 90.00°
Sites, in units of the cell vectors:
Li 0.000 0.000 0.000
Cd 0.000 0.000 0.500
In 0.000 0.500 0.500
In 0.500 0.000 0.500
Cl 0.500 0.500 0.000


This record from Alexandria describes an optimized crystal structure of NaCdInCl6. The functional is PBE.

Summary:
- electronic total energy (eV per atom) = -3.042
- volume (Å³/atom) = 27.1

Cell: 6.699 6.699 12.534 Å, 90.00 90.00 120.00°
Sites, in units of the cell vectors:
Na 0.000 0.000 0.000
Na 0.000 0.000 0.500
Cd 0.333 0.667 0.250
Cd 0.667 0.333 0.750
In 0.333 0.667 0.750
In 0.667 0.333 0.250
Cl 0.012 0.363 0.633
Cl 0.012 0.649 0.867
Cl 0.351 0.363 0.867
Cl 0.351 0.988 0.633
Cl 0.363 0.012 0.133
Cl 0.363 0.351 0.367
Cl 0.637 0.649 0.633
Cl 0.637 0.988 0.867
Cl 0.649 0.012 0.367
Cl 0.649 0.637 0.133
Cl 0.988 0.351 0.133
Cl 0.988 0.637 0.367


This record from Alexandria describes an optimized crystal structure of Na3CdIn3Cl8. The functional is PBE.

Summary:
- electronic total energy (eV per atom) = -3.112
- volume (Å³/atom) = 29.2

Cell: 8.824 8.824 8.824 Å, 55.71 55.71 55.71°
Sites, in units of the cell vectors:
Na 0.000 0.500 0.500
Na 0.500 0.000 0.500
Na 0.500 0.500 0.000
Cd 0.000 0.000 0.000
In 0.000 0.000 0.500
In 0.000 0.500 0.000
In 0.500 0.000 0.000
Cl 0.224 0.224 0.754
Cl 0.224 0.754 0.224
Cl 0.246 0.776 0.776
Cl 0.263 0.263 0.263
Cl 0.737 0.737 0.737
Cl 0.754 0.224 0.224
Cl 0.776 0.246 0.776
Cl 0.776 0.776 0.246